A plane-wave DFT calculation with PBE was carried out for a geometry-optimized Ba5AuO6 structure. Values from VASP.

Structure (Quantum ESPRESSO input):
```
&SYSTEM
  ibrav = 0, nat = 12, ntyp = 3
/
ATOMIC_SPECIES
Ba 137.33 Ba.upf
O 16.00 O.upf
Au 196.97 Au.upf
ATOMIC_POSITIONS crystal
Ba 0.0000 0.6618 0.6764
Ba 0.5000 0.1583 0.6834
Ba 0.5000 0.8417 0.3166
Ba 0.5000 0.5000 0.0000
Ba 0.0000 0.3382 0.3236
O 0.2996 0.5122 0.3595
O 0.7004 0.1283 0.3595
O 0.1934 0.2350 0.0000
O 0.8066 0.7650 0.0000
O 0.2996 0.8717 0.6405
O 0.7004 0.4878 0.6405
Au 0.0000 0.0000 0.0000
CELL_PARAMETERS angstrom
6.6028 -0.4868 0.0000
1.3929 6.3933 0.0000
0.6965 3.1967 6.1491
```

Output
Formation energy from raw total energies in eV/atom: -2.001
SG: No. 12
Total energy in eV/atom: -5.5546
Crystal system: monoclinic